VASP calculation (PBE-GGA) on an optimized crystal structure of CdBPO.

abc: 4.0225 4.0225 7.0004
angles: 90.00 90.00 90.00
Sites, in units of the cell vectors:
1 O 0.5000 0.5000 0.0000
2 O 0.0000 0.0000 0.0000
3 B 0.0000 0.0000 0.5000
4 B 0.5000 0.5000 0.5000
5 Cd 0.5000 0.0000 0.8716
6 Cd 0.0000 0.5000 0.1284
7 P 0.5000 0.0000 0.4340
8 P 0.0000 0.5000 0.5660

Calculated values
E above lowest polymorph ... 0.892 eV/atom


VASP calculation (PBE-GGA) on an optimized crystal structure of CdBPO.

abc: 3.3247 7.8167 4.5553
angles: 90.00 90.00 90.00
Sites, in units of the cell vectors:
1 O 0.0000 0.0554 0.8315
2 O 0.0000 0.9446 0.3315
3 B 0.0000 0.9126 0.0213
4 B 0.0000 0.0874 0.5213
5 P 0.5000 0.2423 0.4495
6 P 0.5000 0.7577 0.9495
7 Cd 0.5000 0.3716 0.9517
8 Cd 0.5000 0.6284 0.4517

Calculated values
E above lowest polymorph ... 0.000 eV/atom


VASP calculation (PBE-GGA) on an optimized crystal structure of Cd3BPO7.

abc: 13.2341 8.8455 5.0913
angles: 90.00 90.00 90.00
Sites, in units of the cell vectors:
1 Cd 0.6371 0.9042 0.0027
2 Cd 0.7469 0.2395 0.9970
3 Cd 0.8629 0.4042 0.5027
4 Cd 0.5977 0.4078 0.4834
5 Cd 0.1371 0.5958 0.0027
6 Cd 0.2469 0.2605 0.9970
7 Cd 0.0977 0.0922 0.4834
8 Cd 0.3629 0.0958 0.5027
9 Cd 0.9023 0.9078 0.9834
10 Cd 0.7531 0.7395 0.4970
11 Cd 0.2531 0.7605 0.4970
12 Cd 0.4023 0.5922 0.9834
13 O 0.2801 0.4673 0.7639
14 O 0.2497 0.7812 0.9369
15 O 0.5021 0.3876 0.1035
16 O 0.5993 0.8601 0.5658
17 O 0.9096 0.6391 0.5684
18 O 0.0021 0.1124 0.1035
19 O 0.7825 0.9615 0.3068
20 O 0.7497 0.7188 0.9369
21 O 0.7199 0.5327 0.2639
22 O 0.2503 0.2812 0.4369
23 O 0.7801 0.0327 0.7639
24 O 0.4007 0.1399 0.0658
25 O 0.2199 0.9673 0.2639
26 O 0.9913 0.2583 0.6730
27 O 0.7503 0.2188 0.4369
28 O 0.4979 0.6124 0.6035
29 O 0.5904 0.1391 0.0684
30 O 0.7175 0.4615 0.8068
31 O 0.9007 0.3601 0.0658
32 O 0.2175 0.0385 0.8068
33 O 0.0993 0.6399 0.5658
34 O 0.9979 0.8876 0.6035
35 O 0.5087 0.7583 0.1730
36 O 0.4913 0.2417 0.6730
37 O 0.2825 0.5385 0.3068
38 O 0.4096 0.8609 0.5684
39 O 0.0904 0.3609 0.0684
40 O 0.0087 0.7417 0.1730
41 P 0.9958 0.2719 0.9784
42 P 0.5042 0.7719 0.4784
43 P 0.0042 0.7281 0.4784
44 P 0.4958 0.2281 0.9784
45 B 0.7278 0.5701 0.0003
46 B 0.2278 0.9299 0.0003
47 B 0.7722 0.0701 0.5003
48 B 0.2722 0.4299 0.5003

Calculated values
Final energy ... -5.899 eV/atom


VASP calculation (PBE-GGA) on an optimized crystal structure of CdBPO.

abc: 2.5177 7.9194 5.6847
angles: 90.00 90.00 90.00
Sites, in units of the cell vectors:
1 O 0.5000 0.7862 0.9093
2 O 0.5000 0.2138 0.4093
3 B 0.0000 0.1349 0.4800
4 B 0.0000 0.8651 0.9800
5 Cd 0.5000 0.3971 0.0280
6 Cd 0.5000 0.6029 0.5280
7 P 0.0000 0.8929 0.3368
8 P 0.0000 0.1071 0.8368

Calculated values
E above lowest polymorph ... 0.088 eV/atom


VASP calculation (PBE-GGA) on an optimized crystal structure of Cd3B4Pb3O12.

abc: 9.9251 9.9251 7.0224
angles: 90.00 90.00 120.00
Sites, in units of the cell vectors:
1 O 0.6513 0.1152 0.7500
2 O 0.8962 0.2422 0.9179
3 O 0.5361 0.6513 0.2500
4 O 0.3487 0.8848 0.2500
5 O 0.8130 0.4664 0.2500
6 O 0.1038 0.7578 0.0821
7 O 0.8962 0.2422 0.5821
8 O 0.7578 0.6540 0.5821
9 O 0.3466 0.8130 0.7500
10 O 0.5336 0.3466 0.2500
11 O 0.2422 0.3460 0.0821
12 O 0.4639 0.3487 0.7500
13 O 0.1152 0.4639 0.2500
14 O 0.4664 0.6534 0.7500
15 O 0.7578 0.6540 0.9179
16 O 0.3460 0.1038 0.9179
17 O 0.6540 0.8962 0.0821
18 O 0.1870 0.5336 0.7500
19 O 0.1038 0.7578 0.4179
20 O 0.6540 0.8962 0.4179
21 O 0.3460 0.1038 0.5821
22 O 0.8848 0.5361 0.7500
23 O 0.6534 0.1870 0.2500
24 O 0.2422 0.3460 0.4179
25 B 0.6667 0.3333 0.2500
26 B 0.2019 0.3927 0.2500
27 B 0.7981 0.6073 0.7500
28 B 0.8092 0.2019 0.7500
29 B 0.6073 0.8092 0.2500
30 B 0.3333 0.6667 0.7500
31 B 0.1908 0.7981 0.2500
32 B 0.3927 0.1908 0.7500
33 Pb 0.1449 0.8686 0.7500
34 Pb 0.1314 0.2764 0.7500
35 Pb 0.8686 0.7236 0.2500
36 Pb 0.7236 0.8551 0.7500
37 Pb 0.2764 0.1449 0.2500
38 Pb 0.8551 0.1314 0.2500
39 Cd 0.0000 0.5000 0.5000
40 Cd 0.0000 0.5000 0.0000
41 Cd 0.5000 0.0000 0.0000
42 Cd 0.5000 0.5000 0.5000
43 Cd 0.5000 0.5000 0.0000
44 Cd 0.5000 0.0000 0.5000

Calculated values
Final energy ... -6.296 eV/atom


VASP calculation (PBE-GGA) on an optimized crystal structure of Rb2Cd3B16O28.

abc: 11.3320 11.3320 13.3364
angles: 92.11 92.11 39.46
Sites, in units of the cell vectors:
1 B 0.1606 0.9992 0.5903
2 B 0.5192 0.6769 0.2554
3 B 0.2719 0.3443 0.3405
4 B 0.6497 0.4893 0.4254
5 B 0.4893 0.6497 0.9254
6 B 0.7509 0.8719 0.1478
7 B 0.4808 0.3231 0.7446
8 B 0.8207 0.0069 0.0762
9 B 0.0008 0.8394 0.9097
10 B 0.3503 0.5107 0.5746
11 B 0.6557 0.7281 0.1595
12 B 0.4866 0.3247 0.4108
13 B 0.8719 0.7509 0.6478
14 B 0.3231 0.4808 0.2446
15 B 0.6753 0.5134 0.0892
16 B 0.2491 0.1281 0.8522
17 B 0.6769 0.5192 0.7554
18 B 0.5107 0.3503 0.0746
19 B 0.7281 0.6557 0.6595
20 B 0.0069 0.8207 0.5762
21 B 0.0229 0.1745 0.7622
22 B 0.8394 0.0008 0.4097
23 B 0.1745 0.0229 0.2622
24 B 0.9771 0.8255 0.2378
25 B 0.3247 0.4866 0.9108
26 B 0.1281 0.2491 0.3522
27 B 0.9931 0.1793 0.4238
28 B 0.5134 0.6753 0.5892
29 B 0.3443 0.2719 0.8405
30 B 0.1793 0.9931 0.9238
31 B 0.9992 0.1606 0.0903
32 B 0.8255 0.9771 0.7378
33 O 0.9858 0.8907 0.6776
34 O 0.1412 0.3602 0.3606
35 O 0.8737 0.7933 0.2253
36 O 0.8019 0.3109 0.4609
37 O 0.0146 0.1262 0.9892
38 O 0.3315 0.8283 0.2933
39 O 0.3694 0.4953 0.0135
40 O 0.4861 0.3611 0.1756
41 O 0.1443 0.0203 0.1527
42 O 0.6069 0.7188 0.5834
43 O 0.3931 0.2812 0.4166
44 O 0.0142 0.1093 0.3224
45 O 0.8557 0.9797 0.8473
46 O 0.7345 0.5984 0.7495
47 O 0.1981 0.6891 0.5391
48 O 0.8283 0.3315 0.7933
49 O 0.7933 0.8737 0.7253
50 O 0.5047 0.6306 0.4865
51 O 0.2812 0.3931 0.9166
52 O 0.6398 0.8588 0.1394
53 O 0.6389 0.5139 0.3244
54 O 0.8738 0.9854 0.5108
55 O 0.8907 0.9858 0.1776
56 O 0.1717 0.6685 0.2067
57 O 0.6747 0.1625 0.3693
58 O 0.1262 0.0146 0.4892
59 O 0.7188 0.6069 0.0834
60 O 0.3611 0.4861 0.6756
61 O 0.6306 0.5047 0.9865
62 O 0.2655 0.4016 0.2505
63 O 0.2067 0.1263 0.2747
64 O 0.6685 0.1717 0.7067
65 O 0.8588 0.6398 0.6394
66 O 0.8375 0.3253 0.1307
67 O 0.5984 0.7345 0.2495
68 O 0.4778 0.3892 0.8429
69 O 0.3602 0.1412 0.8606
70 O 0.1263 0.2067 0.7747
71 O 0.1093 0.0142 0.8224
72 O 0.3253 0.8375 0.6307
73 O 0.7244 0.9682 0.0717
74 O 0.1625 0.6747 0.8693
75 O 0.9682 0.7244 0.5717
76 O 0.9797 0.8557 0.3473
77 O 0.2756 0.0318 0.9283
78 O 0.6891 0.1981 0.0391
79 O 0.3892 0.4778 0.3429
80 O 0.0318 0.2756 0.4283
81 O 0.4953 0.3694 0.5135
82 O 0.4016 0.2655 0.7505
83 O 0.0203 0.1443 0.6527
84 O 0.6108 0.5222 0.6571
85 O 0.5139 0.6389 0.8244
86 O 0.5222 0.6108 0.1571
87 O 0.9854 0.8738 0.0108
88 O 0.3109 0.8019 0.9609
89 Rb 0.7659 0.7388 0.4089
90 Rb 0.2341 0.2612 0.5911
91 Rb 0.7388 0.7659 0.9089
92 Rb 0.2612 0.2341 0.0911
93 Cd 0.7388 0.2612 0.2500
94 Cd 0.2612 0.7388 0.7500
95 Cd 0.2394 0.7591 0.1039
96 Cd 0.7591 0.2394 0.6039
97 Cd 0.7606 0.2409 0.8961
98 Cd 0.2409 0.7606 0.3961

Calculated values
Final energy ... -7.383 eV/atom


VASP calculation (PBE-GGA) on an optimized crystal structure of CdSn2B2O6.

abc: 5.1421 5.5550 6.2239
angles: 63.92 87.92 62.68
Sites, in units of the cell vectors:
1 B 0.0379 0.7500 0.2667
2 B 0.9621 0.2500 0.7333
3 O 0.2291 0.8101 0.3524
4 O 0.2749 0.0622 0.8057
5 O 0.8626 0.5203 0.7490
6 O 0.7709 0.1899 0.6476
7 O 0.1374 0.4797 0.2510
8 O 0.7251 0.9378 0.1943
9 Sn 0.6536 0.5672 0.1824
10 Sn 0.3464 0.4328 0.8176
11 Cd 0.5000 0.0000 0.5000

Calculated values
Final energy ... -6.384 eV/atom


VASP calculation (PBE-GGA) on an optimized crystal structure of Cd2BOs.

abc: 4.4417 4.4417 4.4417
angles: 60.00 60.00 60.00
Sites, in units of the cell vectors:
1 B 0.5000 0.5000 0.5000
2 Os 0.2500 0.2500 0.2500
3 Cd 0.0000 0.0000 0.0000
4 Cd 0.7500 0.7500 0.7500

Calculated values
Final energy ... -3.721 eV/atom


VASP calculation (PBE-GGA) on an optimized crystal structure of CdBOs3.

abc: 7.4226 7.4226 4.9459
angles: 90.00 90.00 120.00
Sites, in units of the cell vectors:
1 Os 0.1248 0.2495 0.2500
2 Os 0.1248 0.8752 0.2500
3 Os 0.7505 0.8752 0.2500
4 Os 0.2495 0.1248 0.7500
5 Os 0.8752 0.7505 0.7500
6 Os 0.8752 0.1248 0.7500
7 B 0.0000 0.0000 0.5000
8 B 0.0000 0.0000 0.0000
9 Cd 0.6667 0.3333 0.7500
10 Cd 0.3333 0.6667 0.2500

Calculated values
Final energy ... -6.565 eV/atom


VASP calculation (PBE-GGA) on an optimized crystal structure of CdBOs.

abc: 4.1046 4.1046 4.1046
angles: 60.00 60.00 60.00
Sites, in units of the cell vectors:
1 Os 0.0000 0.0000 0.0000
2 B 0.2500 0.2500 0.2500
3 Cd 0.7500 0.7500 0.7500

Calculated values
E above lowest polymorph ... 0.000 eV/atom


VASP calculation (PBE-GGA) on an optimized crystal structure of CdBOs2.

abc: 4.3171 4.3171 4.3171
angles: 60.00 60.00 60.00
Sites, in units of the cell vectors:
1 Cd 0.2500 0.2500 0.2500
2 Os 0.0000 0.0000 0.0000
3 Os 0.7500 0.7500 0.7500
4 B 0.5000 0.5000 0.5000

Calculated values
Final energy ... -6.232 eV/atom


VASP calculation (PBE-GGA) on an optimized crystal structure of CdB2Os.

abc: 4.1817 4.1817 4.1817
angles: 60.00 60.00 60.00
Sites, in units of the cell vectors:
1 Cd 0.5000 0.5000 0.5000
2 Os 0.7500 0.7500 0.7500
3 B 0.0000 0.0000 0.0000
4 B 0.2500 0.2500 0.2500

Calculated values
Final energy ... -4.440 eV/atom


VASP calculation (PBE-GGA) on an optimized crystal structure of Cd4BP2.

abc: 6.8296 6.8296 4.0695
angles: 99.08 99.08 56.89
Sites, in units of the cell vectors:
1 P 0.3195 0.3195 0.2703
2 P 0.6805 0.6805 0.7297
3 Cd 0.3746 0.8786 0.2285
4 Cd 0.6254 0.1214 0.7715
5 Cd 0.1214 0.6254 0.7715
6 Cd 0.8786 0.3746 0.2285
7 B 0.0000 0.0000 0.0000

Calculated values
Final energy ... -2.544 eV/atom


VASP calculation (PBE-GGA) on an optimized crystal structure of PaCdB.

abc: 4.6326 4.6326 4.6326
angles: 60.00 60.00 60.00
Sites, in units of the cell vectors:
1 Cd 0.0000 0.0000 0.0000
2 B 0.5000 0.5000 0.5000
3 Pa 0.2500 0.2500 0.2500

Calculated values
E above lowest polymorph ... 0.812 eV/atom


VASP calculation (PBE-GGA) on an optimized crystal structure of PaCdB.

abc: 4.3688 4.3688 4.3688
angles: 60.00 60.00 60.00
Sites, in units of the cell vectors:
1 Pa 0.7500 0.7500 0.7500
2 Cd 0.2500 0.2500 0.2500
3 B 0.0000 0.0000 0.0000

Calculated values
E above lowest polymorph ... 0.000 eV/atom


VASP calculation (PBE-GGA) on an optimized crystal structure of CdB4Pb.

abc: 5.5240 5.5240 5.5240
angles: 147.24 121.23 68.93
Sites, in units of the cell vectors:
1 Cd 0.5000 0.5000 0.0000
2 B 0.9120 0.2470 0.6650
3 B 0.5819 0.2470 0.3350
4 B 0.0880 0.7530 0.3350
5 B 0.4181 0.7530 0.6650
6 Pb 0.0000 0.0000 0.0000

Calculated values
E above lowest polymorph ... 0.037 eV/atom


VASP calculation (PBE-GGA) on an optimized crystal structure of CdB4Pb.

abc: 3.1355 3.1355 8.9286
angles: 90.00 90.00 120.00
Sites, in units of the cell vectors:
1 B 0.6667 0.3333 0.7241
2 B 0.6667 0.3333 0.2759
3 B 0.3333 0.6667 0.7241
4 B 0.3333 0.6667 0.2759
5 Pb 0.0000 0.0000 0.0000
6 Cd 0.0000 0.0000 0.5000

Calculated values
E above lowest polymorph ... 0.000 eV/atom